Entry 1:
A relaxed structure of FePb2WO6. Source: Alexandria via LeMat-Bulk, functional PBE with a Hubbard U.

abc: 8.079 8.079 8.079
angles: 90.00 90.00 90.00
Space group Fm-3m (No. 225)
Asymmetric unit:
Fe  0.000  0.000  0.000 (multiplicity 4)
Pb  0.250  0.250  0.250 (multiplicity 8)
W  0.000  0.000  0.500 (multiplicity 4)
O  0.000  0.000  0.255 (multiplicity 24)

- E_tot (eV/atom) = -6.492

***

Entry 2:
A relaxed structure of ZnFePbO2. Source: Alexandria via LeMat-Bulk, functional PBE with a Hubbard U.

abc: 4.186 4.186 5.874
angles: 90.00 90.00 90.00
Space group P4/mmm (No. 123)
Asymmetric unit:
Zn  0.000  0.000  0.000 (multiplicity 1)
Fe  0.500  0.500  0.000 (multiplicity 1)
Pb  0.000  0.000  0.500 (multiplicity 1)
O  0.000  0.500  0.500 (multiplicity 2)

- E_tot (eV/atom) = -3.611

***

Entry 3:
A relaxed structure of ZnFePbO4. Source: Alexandria via LeMat-Bulk, functional PBE with a Hubbard U.

abc: 6.197 6.550 8.964
angles: 90.00 90.00 90.00
Space group Imma (No. 74)
Asymmetric unit:
Zn  0.000  0.250  0.140 (multiplicity 4)
Fe  0.250  0.250  0.750 (multiplicity 4)
Pb  0.000  0.000  0.500 (multiplicity 4)
O  0.000  0.017  0.743 (multiplicity 8)
O  0.246  0.250  0.505 (multiplicity 8)

- E_tot (eV/atom) = -5.529

***

Entry 4:
A relaxed structure of ZrFePbO2. Source: Alexandria via LeMat-Bulk, functional PBE with a Hubbard U.

abc: 4.293 4.293 5.895
angles: 90.00 90.00 90.00
Space group P4/mmm (No. 123)
Asymmetric unit:
Zr  0.000  0.000  0.000 (multiplicity 1)
Fe  0.500  0.500  0.000 (multiplicity 1)
Pb  0.000  0.000  0.500 (multiplicity 1)
O  0.000  0.500  0.500 (multiplicity 2)

- E_tot (eV/atom) = -4.926

***

Entry 5:
A relaxed structure of FePdO2. Source: Alexandria via LeMat-Bulk, functional PBE with a Hubbard U.

abc: 5.012 5.012 8.705
angles: 90.00 90.00 90.00
Space group I-42d (No. 122)
Asymmetric unit:
Fe  0.000  0.000  0.000 (multiplicity 4)
Pd  0.000  0.000  0.500 (multiplicity 4)
O  0.190  0.250  0.125 (multiplicity 8)

- E_tot (eV/atom) = -5.811

***

Entry 6:
A relaxed structure of Fe2PdO4. Source: Alexandria via LeMat-Bulk, functional PBE with a Hubbard U.

abc: 8.959 7.753 6.151
angles: 90.00 133.25 90.00
Space group C2/c (No. 15)
Asymmetric unit:
Fe  0.000  0.000  0.000 (multiplicity 4)
Fe  0.250  0.250  0.000 (multiplicity 4)
Pd  0.000  0.437  0.250 (multiplicity 4)
O  0.001  0.258  0.546 (multiplicity 8)
O  0.201  0.001  0.950 (multiplicity 8)

- E_tot (eV/atom) = -5.927

***

Entry 7:
A relaxed structure of FePd2O2. Source: Alexandria via LeMat-Bulk, functional PBE with a Hubbard U.

abc: 4.461 4.461 7.391
angles: 90.00 90.00 90.00
Space group I4/mmm (No. 139)
Asymmetric unit:
Fe  0.000  0.000  0.000 (multiplicity 2)
Pd  0.000  0.500  0.250 (multiplicity 4)
O  0.000  0.000  0.258 (multiplicity 4)

- E_tot (eV/atom) = -5.366
- offset from the most stable computed form (meV per atom) = 309

***

Entry 8:
A relaxed structure of FePdO2. Source: Alexandria via LeMat-Bulk, functional PBE with a Hubbard U.

abc: 5.522 5.522 5.522
angles: 90.00 90.00 90.00
Space group Fm-3m (No. 225)
Asymmetric unit:
Fe  0.000  0.000  0.000 (multiplicity 4)
Pd  0.000  0.000  0.500 (multiplicity 4)
O  0.250  0.250  0.250 (multiplicity 8)

- E_tot (eV/atom) = -5.272

***

Entry 9:
A relaxed structure of Fe3PdO. Source: Alexandria via LeMat-Bulk, functional PBE with a Hubbard U.

abc: 4.744 4.744 4.744
angles: 90.00 90.00 90.00
Space group Pm-3m (No. 221)
Asymmetric unit:
Fe  0.000  0.000  0.500 (multiplicity 3)
Pd  0.000  0.000  0.000 (multiplicity 1)
O  0.500  0.500  0.500 (multiplicity 1)

- E_tot (eV/atom) = -3.933
- offset from the most stable computed form (meV per atom) = 1362

***

Entry 10:
A relaxed structure of FePd3O. Source: Alexandria via LeMat-Bulk, functional PBE with a Hubbard U.

abc: 4.650 4.650 4.650
angles: 90.00 90.00 90.00
Space group Pm-3m (No. 221)
Asymmetric unit:
Fe  0.000  0.000  0.000 (multiplicity 1)
Pd  0.000  0.000  0.500 (multiplicity 3)
O  0.500  0.500  0.500 (multiplicity 1)

- E_tot (eV/atom) = -3.875
- offset from the most stable computed form (meV per atom) = 1114

***

Entry 11:
A relaxed structure of FePd3O. Source: Alexandria via LeMat-Bulk, functional PBE with a Hubbard U.

abc: 4.201 4.201 4.201
angles: 90.00 90.00 90.00
Space group Pm-3m (No. 221)
Asymmetric unit:
Fe  0.000  0.000  0.000 (multiplicity 1)
Pd  0.000  0.500  0.500 (multiplicity 3)
O  0.500  0.500  0.500 (multiplicity 1)

- E_tot (eV/atom) = -4.989
- offset from the most stable computed form (meV per atom) = 0

***

Entry 12:
A relaxed structure of FePd2O5. Source: Alexandria via LeMat-Bulk, functional PBE with a Hubbard U.

abc: 5.761 5.761 11.090
angles: 90.00 90.00 90.00
Space group I4/mcm (No. 140)
Asymmetric unit:
Fe  0.000  0.000  0.250 (multiplicity 4)
Pd  0.249  0.251  0.000 (multiplicity 8)
O  0.000  0.000  0.000 (multiplicity 4)
O  0.196  0.304  0.173 (multiplicity 16)

- E_tot (eV/atom) = -5.211